EuLuTl: optimized geometry, PBE-GGA.

energy relative to the lowest polymorph listed for this composition: 27 meV per atom
spin magnetization: 7.18 μB per formula unit

a b c (Å): 5.3455 5.3455 3.7578
angles (deg): 90.00 90.00 120.00
Space group P3m1 (No. 156)
Inequivalent atoms, fractional coordinates:
Eu: 0.0000 0.0000 0.0000 x1
Lu: 0.3333 0.6667 0.4723 x1
Tl: 0.6667 0.3333 0.5661 x1

---

Eu2LuTl: optimized geometry, PBE-GGA.

energy relative to the lowest polymorph listed for this composition: 235 meV per atom
spin magnetization: 15.12 μB per formula unit

a b c (Å): 3.6038 3.6038 36.5171
angles (deg): 90.00 90.00 120.00
Space group R-3m (No. 166, hexagonal axes)
Inequivalent atoms, fractional coordinates:
Eu: 0.0000 0.0000 0.0926 x6
Lu: 0.0000 0.0000 0.0000 x3
Tl: 0.0000 0.0000 0.5000 x3

---

EuLuTl: optimized geometry, PBE-GGA.

energy relative to the lowest polymorph listed for this composition: 0 meV per atom
spin magnetization: 7.96 μB per formula unit

a b c (Å): 3.7237 3.7237 13.3466
angles (deg): 90.00 90.00 90.00
Space group I4mm (No. 107)
Inequivalent atoms, fractional coordinates:
Eu: 0.0000 0.0000 0.0000 x2
Lu: 0.0000 0.0000 0.3037 x2
Tl: 0.0000 0.0000 0.6666 x2

---

Eu2LuTl: optimized geometry, PBE-GGA.

energy relative to the lowest polymorph listed for this composition: 41 meV per atom
spin magnetization: 14.46 μB per formula unit

a b c (Å): 4.1488 4.1488 7.5770
angles (deg): 90.00 90.00 90.00
Space group P4/mmm (No. 123)
Inequivalent atoms, fractional coordinates:
Eu: 0.0000 0.0000 0.2379 x2
Lu: 0.5000 0.5000 0.5000 x1
Tl: 0.5000 0.5000 0.0000 x1

---

EuLuTl: optimized geometry, PBE-GGA.

energy relative to the lowest polymorph listed for this composition: 132 meV per atom
spin magnetization: 7.07 μB per formula unit

a b c (Å): 7.4820 7.4820 7.4820
angles (deg): 90.00 90.00 90.00
Space group F-43m (No. 216)
Inequivalent atoms, fractional coordinates:
Eu: 0.0000 0.0000 0.0000 x4
Lu: 0.0000 0.0000 0.5000 x4
Tl: 0.2500 0.2500 0.7500 x4

---

Eu2LuTl: optimized geometry, PBE-GGA.

energy relative to the lowest polymorph listed for this composition: 0 meV per atom
spin magnetization: 14.31 μB per formula unit

a b c (Å): 4.9114 4.9114 5.1496
angles (deg): 90.00 90.00 90.00
Space group P4/mmm (No. 123)
Inequivalent atoms, fractional coordinates:
Eu: 0.0000 0.5000 0.0000 x2
Lu: 0.0000 0.0000 0.5000 x1
Tl: 0.5000 0.5000 0.5000 x1

---

Eu2LuTl: optimized geometry, PBE-GGA.

energy relative to the lowest polymorph listed for this composition: 66 meV per atom
spin magnetization: 14.24 μB per formula unit

a b c (Å): 8.0063 8.0063 8.0063
angles (deg): 90.00 90.00 90.00
Space group Fm-3m (No. 225)
Inequivalent atoms, fractional coordinates:
Eu: 0.2500 0.2500 0.2500 x8
Lu: 0.0000 0.0000 0.0000 x4
Tl: 0.0000 0.0000 0.5000 x4

---

EuLuTlZn: optimized geometry, PBE-GGA.

spin magnetization: 7.14 μB per formula unit

a b c (Å): 7.4969 7.4969 7.4969
angles (deg): 90.00 90.00 90.00
Space group F-43m (No. 216)
Inequivalent atoms, fractional coordinates:
Eu: 0.0000 0.0000 0.0000 x4
Lu: 0.0000 0.0000 0.5000 x4
Tl: 0.2500 0.2500 0.2500 x4
Zn: 0.2500 0.2500 0.7500 x4

---

EuTm2Lu: optimized geometry, PBE-GGA.

energy relative to the lowest polymorph listed for this composition: 98 meV per atom
spin magnetization: 8.17 μB per formula unit

a b c (Å): 8.0009 8.0009 8.0009
angles (deg): 90.00 90.00 90.00
Space group Fm-3m (No. 225)
Inequivalent atoms, fractional coordinates:
Eu: 0.0000 0.0000 0.0000 x4
Tm: 0.2500 0.2500 0.2500 x8
Lu: 0.0000 0.0000 0.5000 x4

---

EuTm2Lu: optimized geometry, PBE-GGA.

energy relative to the lowest polymorph listed for this composition: 98 meV per atom
spin magnetization: 7.87 μB per formula unit

a b c (Å): 5.7876 5.7876 3.8053
angles (deg): 90.00 90.00 90.00
Space group P4/mmm (No. 123)
Inequivalent atoms, fractional coordinates:
Eu: 0.0000 0.0000 0.0000 x1
Tm: 0.0000 0.5000 0.5000 x2
Lu: 0.5000 0.5000 0.0000 x1

---

EuTm2Lu: optimized geometry, PBE-GGA.

energy relative to the lowest polymorph listed for this composition: 97 meV per atom
spin magnetization: 7.80 μB per formula unit

a b c (Å): 3.4826 3.4826 37.1000
angles (deg): 90.00 90.00 120.00
Space group R-3m (No. 166, hexagonal axes)
Inequivalent atoms, fractional coordinates:
Eu: 0.0000 0.0000 0.0000 x3
Tm: 0.0000 0.0000 0.0922 x6
Lu: 0.0000 0.0000 0.5000 x3

---

EuTm2Lu: optimized geometry, PBE-GGA.

energy relative to the lowest polymorph listed for this composition: 0 meV per atom
spin magnetization: 7.50 μB per formula unit

a b c (Å): 3.5346 3.5346 10.2144
angles (deg): 90.00 90.00 90.00
Space group P4/mmm (No. 123)
Inequivalent atoms, fractional coordinates:
Eu: 0.0000 0.0000 0.0000 x1
Tm: 0.5000 0.5000 0.2680 x2
Lu: 0.0000 0.0000 0.5000 x1

---

Eu2YLu: optimized geometry, PBE-GGA.

energy relative to the lowest polymorph listed for this composition: 0 meV per atom
spin magnetization: 15.57 μB per formula unit

a b c (Å): 5.1517 5.1517 5.2652
angles (deg): 90.00 90.00 90.00
Space group P4/mmm (No. 123)
Inequivalent atoms, fractional coordinates:
Eu: 0.0000 0.5000 0.0000 x2
Y: 0.0000 0.0000 0.5000 x1
Lu: 0.5000 0.5000 0.5000 x1

---

EuY2Lu: optimized geometry, PBE-GGA.

energy relative to the lowest polymorph listed for this composition: 95 meV per atom
spin magnetization: 8.29 μB per formula unit

a b c (Å): 8.1047 8.1047 8.1047
angles (deg): 90.00 90.00 90.00
Space group Fm-3m (No. 225)
Inequivalent atoms, fractional coordinates:
Eu: 0.0000 0.0000 0.0000 x4
Y: 0.2500 0.2500 0.2500 x8
Lu: 0.0000 0.0000 0.5000 x4

---

EuY2Lu: optimized geometry, PBE-GGA.

energy relative to the lowest polymorph listed for this composition: 0 meV per atom
spin magnetization: 7.49 μB per formula unit

a b c (Å): 3.5847 3.5847 10.3487
angles (deg): 90.00 90.00 90.00
Space group P4/mmm (No. 123)
Inequivalent atoms, fractional coordinates:
Eu: 0.0000 0.0000 0.0000 x1
Y: 0.5000 0.5000 0.2685 x2
Lu: 0.0000 0.0000 0.5000 x1

---

EuYLu: optimized geometry, PBE-GGA.

energy relative to the lowest polymorph listed for this composition: 5 meV per atom
spin magnetization: 7.08 μB per formula unit

a b c (Å): 3.6297 3.6297 15.3072
angles (deg): 90.00 90.00 90.00
Space group I4mm (No. 107)
Inequivalent atoms, fractional coordinates:
Eu: 0.0000 0.0000 0.0000 x2
Y: 0.0000 0.0000 0.3222 x2
Lu: 0.0000 0.0000 0.6726 x2

---

EuYLu: optimized geometry, PBE-GGA.

energy relative to the lowest polymorph listed for this composition: 0 meV per atom
spin magnetization: 7.29 μB per formula unit

a b c (Å): 3.6149 3.6149 8.8501
angles (deg): 90.00 90.00 120.00
Space group P3m1 (No. 156)
Inequivalent atoms, fractional coordinates:
Eu: 0.0000 0.0000 0.0000 x1
Y: 0.6667 0.3333 0.3510 x1
Lu: 0.3333 0.6667 0.6602 x1

---

Eu2YLu: optimized geometry, PBE-GGA.

energy relative to the lowest polymorph listed for this composition: 37 meV per atom
spin magnetization: 14.84 μB per formula unit

a b c (Å): 4.0902 4.0902 8.3329
angles (deg): 90.00 90.00 90.00
Space group P4/mmm (No. 123)
Inequivalent atoms, fractional coordinates:
Eu: 0.0000 0.0000 0.2413 x2
Y: 0.5000 0.5000 0.5000 x1
Lu: 0.5000 0.5000 0.0000 x1

---

EuY2Lu: optimized geometry, PBE-GGA.

energy relative to the lowest polymorph listed for this composition: 41 meV per atom
spin magnetization: 7.21 μB per formula unit

a b c (Å): 5.0786 5.0786 5.0904
angles (deg): 90.00 90.00 90.00
Space group P4/mmm (No. 123)
Inequivalent atoms, fractional coordinates:
Eu: 0.0000 0.0000 0.0000 x1
Y: 0.0000 0.5000 0.5000 x2
Lu: 0.5000 0.5000 0.0000 x1

---

Eu2YLu: optimized geometry, PBE-GGA.

energy relative to the lowest polymorph listed for this composition: 39 meV per atom
spin magnetization: 14.59 μB per formula unit

a b c (Å): 8.2284 8.2284 8.2284
angles (deg): 90.00 90.00 90.00
Space group Fm-3m (No. 225)
Inequivalent atoms, fractional coordinates:
Eu: 0.2500 0.2500 0.2500 x8
Y: 0.0000 0.0000 0.0000 x4
Lu: 0.0000 0.0000 0.5000 x4

---

The evaluated energy relative to the elements for the records listed, in turn: -0.14; 0.11; -0.17; -0.08; -0.04; -0.13; -0.06; -0.29; 0.17; 0.17; 0.17; 0.08; 0.13; 0.16; 0.07; 0.08; 0.07; 0.17; 0.11; 0.17 eV/atom.